Computed, not measured: a geometry-optimized Al2RuCl structure at the PBEsol level of DFT.

- final energy (eV/f.u.) = -22.101
- crystal system = tetragonal
- D(E_F) (states/eV/cell) = 1.1
- total magnetic moment (μB/cell) = 0.000
- polymorph energy (0 for the lowest one) (meV per atom) = 15
- theoretical density (g/cm3) = 4.89

Cell lengths 2.9943, 2.9943, 7.2217 Å; angles 90.00, 90.00, 90.00 degrees
Last column: nearest neighbours and their distance in Å.
Fractional positions:
Ru 0.5000 0.5000 0.5000  8 Al 2.54
Al 0.0000 0.0000 0.6951  4 Ru 2.54, 1 Al 2.82
Al 0.0000 0.0000 0.3049  4 Ru 2.54, 1 Al 2.82
Cl 0.5000 0.5000 0.0000  4 Cl 2.99, 8 Al 3.05